No. 1
Below is a relaxed ZrCdSnH2 crystal, with properties calculated at the PBE-GGA level.

Unit cell a=3.345 b=4.777 c=9.839 alpha=90.00 beta=90.00 gamma=90.00
Atoms (fractional coordinates):
Zr: 0.500 0.000 0.568
Zr: 0.500 0.500 0.068
Cd: 0.000 0.000 0.857
Cd: 0.000 0.500 0.357
Sn: 0.500 0.000 0.252
Sn: 0.500 0.500 0.752
H: 0.000 0.765 0.529
H: 0.000 0.235 0.529
H: 0.000 0.265 0.029
H: 0.000 0.735 0.029

Results
polymorph energy (0 for the lowest one) = 0.183 eV per atom
total magnetization = 0.00 Bohr magnetons per cell
density of states at the Fermi level = 1.99 states/eV/cell

---

No. 2
Below is a relaxed ZrCdSnH2 crystal, with properties calculated at the PBE-GGA level.

Unit cell a=5.351 b=3.124 c=11.295 alpha=90.00 beta=90.39 gamma=90.00
Atoms (fractional coordinates):
Zr: 0.872 0.000 0.995
Zr: 0.872 0.500 0.495
Cd: 0.373 0.000 0.572
Cd: 0.373 0.500 0.072
Sn: 0.874 0.000 0.726
Sn: 0.874 0.500 0.226
H: 0.659 0.000 0.437
H: 0.659 0.500 0.937
H: 0.083 0.000 0.438
H: 0.083 0.500 0.938

Results
polymorph energy (0 for the lowest one) = 0.156 eV per atom
total magnetization = 0.00 Bohr magnetons per cell
density of states at the Fermi level = 3.28 states/eV/cell